P | Below is crystalline CaAcLa4 at its relaxed geometry, with properties calculated at the GGA-PBE level.

Geometry as POSCAR:
```
CaAcLa4
1.0
0.0000 4.9327 4.9327
4.9327 0.0000 4.9327
4.9327 4.9327 0.0000
Ca Ac La
1 1 4
Cartesian
0.0000 0.0000 0.0000
7.3990 7.3990 7.3990
3.7250 3.7250 3.7250
6.1403 6.1403 3.7250
6.1403 3.7250 6.1403
3.7250 6.1403 6.1403
```

Output
As for the space group: F-43m (216).


Q | Below is crystalline CaAcLa4 at its relaxed geometry, with properties calculated at the GGA-PBE level.

Geometry as POSCAR:
```
CaAcLa4
1.0
9.3828 -1.9079 0.0000
9.3828 1.9079 0.0000
-0.7836 0.0000 6.5745
Ca Ac La
1 1 4
Cartesian
0.0000 0.0000 0.0000
8.9910 0.0000 3.2873
2.8390 0.0000 2.6000
6.0712 0.0000 0.7738
11.9108 0.0000 5.8007
15.1430 0.0000 3.9746
```

Output
As for the space group: C2/m (12).


Name the most stable of them. Q.


P | Below is crystalline Ca4AcLa at its relaxed geometry, with properties calculated at the GGA-PBE level.

Geometry as POSCAR:
```
Ca4AcLa
1.0
10.1473 -1.9396 0.0000
10.1473 1.9396 0.0000
-2.1168 0.0000 6.2901
Ca Ac La
4 1 1
Cartesian
3.3736 0.0000 0.0015
5.6950 0.0000 3.1537
12.4829 0.0000 3.1364
14.8043 0.0000 6.2887
-1.0584 0.0000 3.1451
10.1473 0.0000 0.0000
```

Output
As for the space group: C2/m (12).


Q | Below is crystalline Ca4AcLa at its relaxed geometry, with properties calculated at the GGA-PBE level.

Geometry as POSCAR:
```
Ca4AcLa
1.0
0.0000 5.0830 5.0830
5.0830 0.0000 5.0830
5.0830 5.0830 0.0000
Ca Ac La
4 1 1
Cartesian
1.2728 1.2728 1.2728
3.8102 3.8102 1.2728
3.8102 1.2728 3.8102
1.2728 3.8102 3.8102
7.6245 7.6245 7.6245
5.0830 5.0830 5.0830
```

Output
As for the space group: F-43m (216).


Name the most stable of them. P.


P | Below is crystalline Ca2Ac5La2 at its relaxed geometry, with properties calculated at the GGA-PBE level.

Geometry as POSCAR:
```
Ca2Ac5La2
1.0
6.7891 0.0000 0.0000
-3.3933 5.8836 0.0000
-3.3427 -1.9679 9.6121
Ca Ac La
2 5 2
Cartesian
0.0037 1.9350 0.0063
0.0494 1.9807 9.6058
-2.2512 1.9635 3.2372
-1.0959 -0.0229 6.3730
3.3946 0.0000 0.0000
1.1490 3.9386 3.2391
2.3043 1.9522 6.3750
1.1843 -0.0258 3.2835
-1.1312 3.9414 6.3286
```

Output
As for the space group: P-1 (2).


Q | Below is crystalline Ca2Ac5La2 at its relaxed geometry, with properties calculated at the GGA-PBE level.

Geometry as POSCAR:
```
Ca2Ac5La2
1.0
8.2541 -4.9348 0.0000
8.2541 4.9348 0.0000
0.0000 0.0000 9.7515
Ca Ac La
4 10 4
Cartesian
3.8178 0.0000 0.0000
4.4363 0.0000 4.8757
12.0719 0.0000 4.8757
12.6904 0.0000 0.0000
0.0000 0.0000 0.0000
6.1683 2.9883 6.7753
6.1683 1.9464 1.8996
10.3399 2.9883 6.7753
10.3399 1.9464 1.8996
8.2541 0.0000 4.8757
6.1683 -1.9464 7.8519
6.1683 -2.9883 2.9761
10.3399 -1.9464 7.8519
10.3399 -2.9883 2.9761
8.2541 3.8239 3.7643
8.2541 1.1108 8.6400
8.2541 -1.1108 1.1115
8.2541 -3.8239 5.9872
```

Output
As for the space group: Cmce (64).


Name the most stable of them. P.